Material: TbSmGa2I2
Method: DFT, PBE-GGA
State: optimized geometry

Lattice parameters (Å, degrees): 4.2395 4.2395 11.7509 90.00 90.00 120.00
Closest atoms and distances in Å follow each position.
Positions (direct):
Tb 0.0000 0.0000 0.0000  3 Ga 2.97, 3 I 3.15
Sm 0.0000 0.0000 0.6521  3 Ga 3.00, 3 I 3.19
Ga 0.3333 0.6667 0.8566  3 Ga 2.54
Ga 0.6667 0.3333 0.8000  3 Ga 2.54
I 0.3333 0.6667 0.4779  3 Sm 3.19
I 0.6667 0.3333 0.1693  3 Tb 3.15

***

Material: ZnSbAsO
Method: DFT, PBE-GGA
State: optimized geometry

Lattice parameters (Å, degrees): 4.4317 5.9832 5.8457 90.00 90.00 90.00
Closest atoms and distances in Å follow each position.
Positions (direct):
Zn 0.0000 0.1495 0.0000  2 O 2.06-2.08
Zn 0.0000 0.8505 0.5000  2 O 2.06-2.08
Sb 0.5000 0.2452 0.4050  2 O 2.29
Sb 0.5000 0.7548 0.9050  2 O 2.29
As 0.5000 0.2970 0.8679  2 Zn 2.51, 2 Sb 2.72-2.75
As 0.5000 0.7030 0.3679  2 Zn 2.51, 2 Sb 2.72-2.75
O 0.0000 0.1648 0.3556  2 Zn 2.06-2.08, 2 Sb 2.29
O 0.0000 0.8352 0.8556  2 Zn 2.06-2.08, 2 Sb 2.29

***

For reference, total energy by record: -4.138 -4.271 eV per atom.
For reference, ρ by record: 6.378 5.958 Mg/m³.